DFT (PBE) results for a relaxed structure of NdDySnSe.

Summary:
ρ   7.32 g cm⁻³
Calculated volume   28.62 Å³ per atom
Size of the total moment   0.000 μB/f.u.
Raw formation energy   -1272 meV per atom

```
NdDySnSe
1.0
-0.417 -4.290 -0.015
4.163 -0.408 1.061
-1.508 0.126 5.966
Dy Se Sn Nd
1 1 1 1
direct
0.000 0.892 0.592
0.000 0.891 0.092
0.500 0.392 0.593
0.500 0.391 0.093
```

DFT (PBE) results for a relaxed structure of SrNd2DySe4.

Summary:
ρ   6.61 g cm⁻³
Calculated volume   26.81 Å³ per atom
Size of the total moment   0.000 μB/f.u.
Raw formation energy   -1840 meV per atom

```
SrNd2DySe4
1.0
-0.417 2.492 -3.357
-7.110 -1.883 -0.514
-3.994 4.680 3.970
Nd Se Dy Sr
2 4 1 1
direct
0.500 0.000 0.500
0.000 0.000 0.000
0.500 0.259 0.739
0.500 0.741 0.261
0.000 0.251 0.259
0.000 0.749 0.741
0.000 0.500 0.500
0.500 0.500 0.000
```

Number 1: DOS at the Fermi energy 1.050 states/eV/f.u.. Number 2: DOS at the Fermi energy 3.245 states/eV/f.u..